(1)
DFT (PBE-GGA) results for an optimized crystal structure of Er3Hg2Pt2.

abc: 3.935 3.661 11.417
angles: 90.00 80.08 90.00
Positions (direct):
Er  0.832  0.000  0.336
Er  0.000  0.000  0.000
Er  0.168  0.000  0.664
Hg  0.578  0.500  0.844
Hg  0.422  0.500  0.156
Pt  0.708  0.500  0.584
Pt  0.292  0.500  0.416

## Properties
The formation energy is -0.838 eV per atom.

(2)
DFT (PBE-GGA) results for an optimized crystal structure of MoAsI3.

abc: 5.394 5.394 5.394
angles: 90.00 90.00 90.00
Positions (direct):
I  0.000  0.500  0.000
I  0.000  0.000  0.500
I  0.500  0.000  0.000
Mo  0.000  0.000  0.000
As  0.500  0.500  0.500

## Properties
Its polymorph energy (0 for the lowest one) is 0.0 meV per atom. For the formation energy without anion corrections, the calculation gives 796 meV per atom.

(3)
DFT (PBE-GGA) results for an optimized crystal structure of CaZnIn.

abc: 4.693 6.007 6.114
angles: 76.08 67.43 67.01
Positions (direct):
Ca  0.544  0.209  0.703
Ca  0.456  0.791  0.297
Zn  0.152  0.389  0.307
Zn  0.848  0.611  0.693
In  0.827  0.233  0.114
In  0.173  0.767  0.886

## Properties
The formation energy is -0.375 eV per atom.

(4)
DFT (PBE-GGA) results for an optimized crystal structure of SbPPb2.

abc: 9.173 9.173 9.173
angles: 23.98 23.98 23.98
Positions (direct):
Sb  0.518  0.518  0.518
P  0.242  0.242  0.242
Pb  0.987  0.987  0.987
Pb  0.753  0.753  0.753

## Properties
Its polymorph energy (0 for the lowest one) is 0.0 meV per atom. For the formation energy without anion corrections, the calculation gives 116 meV per atom.

(5)
DFT (PBE-GGA) results for an optimized crystal structure of CsSn2HgPb.

abc: 5.443 5.139 7.224
angles: 110.84 112.13 90.00
Positions (direct):
Cs  0.442  0.442  0.884
Sn  0.689  0.189  0.377
Sn  0.060  0.060  0.120
Hg  0.822  0.822  0.644
Pb  0.200  0.700  0.400

## Properties
The formation energy is -0.144 eV per atom.

For the records above, the corresponding volume values read 23.14; 31.39; 24.28; 28.01; 34.57 Å³ per atom.